Entry 1:
Crystalline Nd2TaN3 at its relaxed geometry. Source: the Alexandria database, functional GGA-PBE.

Structure (CIF):
```
data_Nd2TaN3
_symmetry_space_group_name_H-M 'C m c m'
_symmetry_Int_Tables_number 63
_symmetry_space_group_name_Hall '-C 2c 2'
_cell_length_a 9.980
_cell_length_b 6.510
_cell_length_c 5.729
_cell_angle_alpha 90.00
_cell_angle_beta 90.00
_cell_angle_gamma 90.00
loop_
_atom_site_label
_atom_site_fract_x
_atom_site_fract_y
_atom_site_fract_z
_atom_site_occupancy
Nd1 0.172 0.160 0.250 1
Ta1 0.000 0.403 0.750 1
N1 0.000 0.108 0.750 1
N2 0.149 0.500 0.000 1
```

Output
Its total energy is -8.904 eV/atom. The energy above the lowest structure with this stoichiometry comes out at 95 meV per atom. The value obtained for the formation energy without anion corrections is -1.18 eV/atom. The density of states at the Fermi level is 5.50 states/eV per cell.

=====

Entry 2:
Crystalline La6Rh2SCl3 at its relaxed geometry. Source: the Alexandria database, functional GGA-PBE.

Structure (CIF):
```
data_La6Rh2SCl3
_symmetry_space_group_name_H-M 'C 1 2/m 1'
_symmetry_Int_Tables_number 12
_symmetry_space_group_name_Hall '-C 2y'
_cell_length_a 7.284
_cell_length_b 12.581
_cell_length_c 7.705
_cell_angle_alpha 90.00
_cell_angle_beta 108.44
_cell_angle_gamma 90.00
loop_
_atom_site_label
_atom_site_fract_x
_atom_site_fract_y
_atom_site_fract_z
_atom_site_occupancy
La1 0.227 0.000 0.214 1
La2 0.245 0.328 0.217 1
Rh1 0.000 0.167 0.000 1
S1 0.000 0.500 0.000 1
Cl1 0.000 0.000 0.500 1
Cl2 0.000 0.339 0.500 1
```

Output
Its total energy is -5.930 eV/atom. The value obtained for the formation energy without anion corrections is -1.44 eV/atom. The density of states at the Fermi level is 17.66 states/eV per cell.

=====

> formation energy without anion corrections of number 1 (Nd2TaN3)?

-1.18 eV/atom

=====

> Which value of formation energy without anion corrections does entry 1 give?

-1.18 eV/atom

=====

> Which value of formation energy without anion corrections does entry 2 give?

-1.44 eV/atom